## Cu3Ni4 (GGA-PBE)

Data for a relaxed structure of Cu3Ni4.

extended XYZ file:
```
7
Lattice="-1.254 1.254 12.548 1.254 -1.254 12.548 1.254 1.254 -12.548" Properties=species:S:1:pos:R:3 pbc="T T T"
Cu 0.000 0.000 0.000
Cu 0.000 0.000 7.206
Cu 0.000 0.000 17.889
Ni 0.000 0.000 3.526
Ni 0.000 0.000 10.728
Ni 0.000 0.000 14.367
Ni 0.000 0.000 21.569
```

Computed properties:
Its energy relative to the elements is 0.5 kcal/mol of atoms. The theoretical density comes out at 9.0 g/cm³. The calculation puts the uncorrected energy at -5.038 eV per atom. The space group is I4/mmm.